--- P ---
The following is a GGA-PBE calculation of a relaxed CoCu2Tc crystal, from Alexandria.

Values from the calculation:
Volume ... 53.6 Å³/f.u.
DOS at the Fermi energy ... 6.2 states/eV/f.u.

```
data_CoCu2Tc
_symmetry_space_group_name_H-M 'I -4 2 d'
_symmetry_Int_Tables_number 122
_symmetry_space_group_name_Hall 'I -4 2bw'
_cell_length_a 6.677
_cell_length_b 6.677
_cell_length_c 4.812
_cell_angle_alpha 90.00
_cell_angle_beta 90.00
_cell_angle_gamma 90.00
loop_
_atom_site_label
_atom_site_type_symbol
_atom_site_fract_x
_atom_site_fract_y
_atom_site_fract_z
Co1 Co 0.000 0.000 0.000
Cu1 Cu 0.232 0.750 0.125
Tc1 Tc 0.000 0.000 0.500
```



--- Q ---
The following is a GGA-PBE calculation of a relaxed CoCu2Tc crystal, from Alexandria.

Values from the calculation:
Volume ... 50.3 Å³/f.u.
DOS at the Fermi energy ... 3.9 states/eV/f.u.

```
data_CoCu2Tc
_symmetry_space_group_name_H-M 'I m m m'
_symmetry_Int_Tables_number 71
_symmetry_space_group_name_Hall '-I 2 2'
_cell_length_a 2.611
_cell_length_b 4.332
_cell_length_c 8.887
_cell_angle_alpha 90.00
_cell_angle_beta 90.00
_cell_angle_gamma 90.00
loop_
_atom_site_label
_atom_site_type_symbol
_atom_site_fract_x
_atom_site_fract_y
_atom_site_fract_z
Co1 Co 0.000 0.000 0.000
Cu1 Cu 0.000 0.500 0.261
Tc1 Tc 0.000 0.000 0.500
```



Q: Which of them is the most stable? A: Q.



--- P ---
The following is a GGA-PBE calculation of a relaxed CoCuTe crystal, from Alexandria.

Values from the calculation:
Volume ... 49.5 Å³/f.u.
DOS at the Fermi energy ... 3.3 states/eV/f.u.

```
data_CoCuTe
_symmetry_space_group_name_H-M 'F -4 3 m'
_symmetry_Int_Tables_number 216
_symmetry_space_group_name_Hall 'F -4 2 3'
_cell_length_a 5.827
_cell_length_b 5.827
_cell_length_c 5.827
_cell_angle_alpha 90.00
_cell_angle_beta 90.00
_cell_angle_gamma 90.00
loop_
_atom_site_label
_atom_site_type_symbol
_atom_site_fract_x
_atom_site_fract_y
_atom_site_fract_z
Co1 Co 0.000 0.000 0.000
Cu1 Cu 0.250 0.250 0.250
Te1 Te 0.250 0.250 0.750
```



--- Q ---
The following is a GGA-PBE calculation of a relaxed CoCuTe crystal, from Alexandria.

Values from the calculation:
Volume ... 45.6 Å³/f.u.
DOS at the Fermi energy ... 2.5 states/eV/f.u.

```
data_CoCuTe
_symmetry_space_group_name_H-M 'I 4 m m'
_symmetry_Int_Tables_number 107
_symmetry_space_group_name_Hall 'I 4 -2'
_cell_length_a 3.425
_cell_length_b 3.425
_cell_length_c 7.775
_cell_angle_alpha 90.00
_cell_angle_beta 90.00
_cell_angle_gamma 90.00
loop_
_atom_site_label
_atom_site_type_symbol
_atom_site_fract_x
_atom_site_fract_y
_atom_site_fract_z
Co1 Co 0.000 0.000 0.000
Cu1 Cu 0.000 0.000 0.332
Te1 Te 0.000 0.000 0.655
```



Q: Which of them is the most stable? A: P.



--- P ---
The following is a GGA-PBE calculation of a relaxed CoCuTe crystal, from Alexandria.

Values from the calculation:
Volume ... 48.2 Å³/f.u.
DOS at the Fermi energy ... 2.1 states/eV/f.u.

```
data_CoCuTe
_symmetry_space_group_name_H-M 'P 4/n m m'
_symmetry_Int_Tables_number 129
_cell_length_a 4.067
_cell_length_b 4.067
_cell_length_c 5.833
_cell_angle_alpha 90.00
_cell_angle_beta 90.00
_cell_angle_gamma 90.00
loop_
_symmetry_equiv_pos_as_xyz
'x,y,z'
'-x,-y,-z'
'-y+1/2,x,z'
'y+1/2,-x,-z'
'-x+1/2,-y+1/2,z'
'x+1/2,y+1/2,-z'
'y,-x+1/2,z'
'-y,x+1/2,-z'
'x+1/2,-y,-z'
'-x+1/2,y,z'
'-y,-x,-z'
'y,x,z'
'-x,y+1/2,-z'
'x,-y+1/2,z'
'y+1/2,x+1/2,-z'
'-y+1/2,-x+1/2,z'
loop_
_atom_site_label
_atom_site_type_symbol
_atom_site_fract_x
_atom_site_fract_y
_atom_site_fract_z
Co1 Co 0.250 0.750 0.000
Cu1 Cu 0.250 0.250 0.274
Te1 Te 0.250 0.250 0.729
```



--- Q ---
The following is a GGA-PBE calculation of a relaxed CoCuTe crystal, from Alexandria.

Values from the calculation:
Volume ... 53.4 Å³/f.u.
DOS at the Fermi energy ... 4.1 states/eV/f.u.

```
data_CoCuTe
_symmetry_space_group_name_H-M 'A m m 2'
_symmetry_Int_Tables_number 38
_symmetry_space_group_name_Hall 'A 2 -2'
_cell_length_a 9.483
_cell_length_b 3.625
_cell_length_c 6.214
_cell_angle_alpha 90.00
_cell_angle_beta 90.00
_cell_angle_gamma 90.00
loop_
_atom_site_label
_atom_site_type_symbol
_atom_site_fract_x
_atom_site_fract_y
_atom_site_fract_z
Co1 Co 0.000 0.000 0.000
Co2 Co 0.500 0.000 0.009
Cu1 Cu 0.366 0.000 0.673
Te1 Te 0.171 0.000 0.334
```



--- R ---
The following is a GGA-PBE calculation of a relaxed CoCuTe crystal, from Alexandria.

Values from the calculation:
Volume ... 51.7 Å³/f.u.
DOS at the Fermi energy ... 2.6 states/eV/f.u.

```
data_CoCuTe
_symmetry_space_group_name_H-M 'P 3 m 1'
_symmetry_Int_Tables_number 156
_symmetry_space_group_name_Hall 'P 3 -2"'
_cell_length_a 3.8113
_cell_length_b 3.8113
_cell_length_c 4.1070
_cell_angle_alpha 90.00
_cell_angle_beta 90.00
_cell_angle_gamma 120.00
loop_
_atom_site_label
_atom_site_type_symbol
_atom_site_fract_x
_atom_site_fract_y
_atom_site_fract_z
Co1 Co 0.0000 0.0000 0.0000
Cu1 Cu 0.3333 0.6667 0.2813
Te1 Te 0.6667 0.3333 0.7111
```



Q: Which of them is the most stable? A: P.



--- P ---
The following is a GGA-PBE calculation of a relaxed Ti4CoCu crystal, from Alexandria.

Values from the calculation:
Volume ... 89.5 Å³/f.u.
DOS at the Fermi energy ... 3.5 states/eV/f.u.

```
data_Ti4CoCu
_symmetry_space_group_name_H-M 'P 4/m m m'
_symmetry_Int_Tables_number 123
_symmetry_space_group_name_Hall '-P 4 2'
_cell_length_a 2.968
_cell_length_b 2.968
_cell_length_c 10.167
_cell_angle_alpha 90.00
_cell_angle_beta 90.00
_cell_angle_gamma 90.00
loop_
_atom_site_label
_atom_site_type_symbol
_atom_site_fract_x
_atom_site_fract_y
_atom_site_fract_z
Ti1 Ti 0.000 0.000 0.148
Ti2 Ti 0.500 0.500 0.330
Co1 Co 0.500 0.500 0.000
Cu1 Cu 0.000 0.000 0.500
```



--- Q ---
The following is a GGA-PBE calculation of a relaxed Ti4CoCu crystal, from Alexandria.

Values from the calculation:
Volume ... 91.1 Å³/f.u.
DOS at the Fermi energy ... 6.3 states/eV/f.u.

```
data_Ti4CoCu
_symmetry_space_group_name_H-M 'C 1 2/m 1'
_symmetry_Int_Tables_number 12
_symmetry_space_group_name_Hall '-C 2y'
_cell_length_a 13.549
_cell_length_b 2.863
_cell_length_c 5.015
_cell_angle_alpha 90.00
_cell_angle_beta 110.50
_cell_angle_gamma 90.00
loop_
_atom_site_label
_atom_site_type_symbol
_atom_site_fract_x
_atom_site_fract_y
_atom_site_fract_z
Ti1 Ti 0.160 0.000 0.335
Ti2 Ti 0.161 0.500 0.825
Co1 Co 0.000 0.000 0.500
Cu1 Cu 0.000 0.500 0.000
```



Q: Which of them is the most stable? A: P.